Computed, not measured: a geometry-optimized Pm6ZnTe5 structure at the PBE-GGA level of DFT.

The calculation puts the density of states at the Fermi level at 5.3 states/eV/f.u. The calculation puts the magnetic moment at 0.00 μB/f.u. The calculation puts the energy at -5.04 eV/atom. The crystal system is monoclinic. As for the density: 7.0 g/cm³. As for the uncorrected formation energy: -28.82 kcal/mol of atoms.

Geometry as POSCAR:
```
Pm6ZnTe5
1.0
3.861 -6.661 0.000
3.861 6.661 0.000
-2.565 0.000 7.243
Pm Zn Te
6 1 5
Direct
0.078 0.394 0.737
0.233 0.233 0.257
0.394 0.078 0.737
0.606 0.922 0.263
0.767 0.767 0.743
0.922 0.606 0.263
0.000 0.000 0.500
0.175 0.825 0.000
0.335 0.665 0.500
0.500 0.500 0.000
0.665 0.335 0.500
0.825 0.175 0.000
```

Computed, not measured: a geometry-optimized Sm2PuGa structure at the PBE-GGA level of DFT.

The calculation puts the density of states at the Fermi level at 10.7 states/eV/f.u. The calculation puts the magnetic moment at 6.28 μB/f.u. The calculation puts the energy at -6.84 eV/atom. The crystal system is tetragonal. As for the density: 9.6 g/cm³.

Geometry as POSCAR:
```
Sm2PuGa
1.0
4.844 0.000 0.000
0.000 4.844 0.000
0.000 0.000 4.523
Sm Pu Ga
2 1 1
Direct
0.000 0.500 0.000
0.500 0.000 0.000
0.000 0.000 0.500
0.500 0.500 0.500
```

Computed, not measured: a geometry-optimized TbDy7 structure at the PBE-GGA level of DFT.

The calculation puts the density of states at the Fermi level at 11.5 states/eV/f.u. The calculation puts the magnetic moment at 0.00 μB/f.u. The calculation puts the energy at -4.57 eV/atom. The crystal system is orthorhombic. As for the density: 8.5 g/cm³.

Geometry as POSCAR:
```
TbDy7
1.0
3.510 0.000 0.000
0.000 11.069 0.000
0.000 0.000 12.963
Tb Dy
2 14
Direct
0.000 0.000 0.000
0.500 0.500 0.500
0.000 0.231 0.367
0.000 0.231 0.633
0.000 0.500 0.000
0.000 0.500 0.259
0.000 0.500 0.741
0.000 0.769 0.367
0.000 0.769 0.633
0.500 0.000 0.241
0.500 0.000 0.500
0.500 0.000 0.759
0.500 0.269 0.133
0.500 0.269 0.867
0.500 0.731 0.133
0.500 0.731 0.867
```

Computed, not measured: a geometry-optimized UTiVIr structure at the PBE-GGA level of DFT.

The calculation puts the density of states at the Fermi level at 6.9 states/eV/f.u. The calculation puts the magnetic moment at 1.41 μB/f.u. The calculation puts the energy at -9.40 eV/atom. The crystal system is cubic. As for the density: 13.7 g/cm³.

Geometry as POSCAR:
```
UTiVIr
1.0
6.360 0.000 0.000
0.000 6.360 0.000
0.000 0.000 6.360
U Ti V Ir
4 4 4 4
Direct
0.000 0.000 0.000
0.000 0.500 0.500
0.500 0.000 0.500
0.500 0.500 0.000
0.250 0.250 0.750
0.250 0.750 0.250
0.750 0.250 0.250
0.750 0.750 0.750
0.250 0.250 0.250
0.250 0.750 0.750
0.750 0.250 0.750
0.750 0.750 0.250
0.000 0.000 0.500
0.000 0.500 0.000
0.500 0.000 0.000
0.500 0.500 0.500
```